1.
VASP calculation (GGA-PBE) on Sr3Ga7Ir2 after structural relaxation.

Cell lengths 4.8212, 23.7204, 4.8315 Å; angles 90.00, 90.00, 90.00 degrees
With the nearest neighbours (Å) after each atom.
Space group Cmmm (No. 65)
Asymmetric unit:
1 Sr 0.0000 0.0000 0.0000 [2 per cell]  12 Ga 3.26-3.41
2 Sr 0.0000 0.1853 0.0000 [4 per cell]  10 Ga 3.25-3.49
3 Ga 0.0000 0.0924 0.5000 [4 per cell]  2 Ir 2.43
4 Ga 0.0000 0.2835 0.5000 [4 per cell]  1 Ir 2.61, 2 Ga 2.89
5 Ga 0.0000 0.4066 0.0000 [4 per cell]  2 Ir 2.44
6 Ga 0.0000 0.5000 0.5000 [2 per cell]  2 Ir 2.52
7 Ir 0.0000 0.3937 0.5000 [4 per cell]  6 Ga 2.43-2.61

## Properties
- Energy relative to the elements: -0.414 eV per atom
- Density: 6.8 Mg/m³
- Final energy: -4.077 eV/atom
- V: 23.0 A^3/atom


2.
VASP calculation (GGA-PBE) on BeGaSn3 after structural relaxation.

Cell lengths 4.9684, 4.9684, 4.9684 Å; angles 90.00, 90.00, 90.00 degrees
With the nearest neighbours (Å) after each atom.
Space group Pm-3m (No. 221)
Asymmetric unit:
1 Be 0.0000 0.0000 0.0000 [1 per cell]  6 Sn 2.48
2 Ga 0.5000 0.5000 0.5000 [1 per cell]  12 Sn 3.51
3 Sn 0.0000 0.0000 0.5000 [3 per cell]  2 Be 2.48

## Properties
- Energy relative to the elements: 0.362 eV per atom
- Density: 5.9 Mg/m³
- Final energy: -3.390 eV/atom
- Polymorph energy (0 for the lowest one): 0.000 eV/atom
- V: 24.5 A^3/atom